# 1
Density functional theory data (PBE) for a relaxed MgFe2Rh crystal.

Calculated values
For the theoretical density, the calculation gives 7.028 g/cm³. Its energy of formation from the pure elements is 0.13 eV/atom.

Lattice parameters (Å, degrees): 2.7376 2.7376 7.5321 90.00 90.00 90.00
Space group P4/mmm (No. 123)
One atom of each set of equivalent atoms:
Mg1 0.0000 0.0000 0.0000 (multiplicity 1)
Fe1 0.5000 0.5000 0.2673 (multiplicity 2)
Rh1 0.0000 0.0000 0.5000 (multiplicity 1)

=====

# 2
Density functional theory data (PBE) for a relaxed MgFe2Rh crystal.

Calculated values
For the theoretical density, the calculation gives 6.914 g/cm³. Its energy of formation from the pure elements is 0.20 eV/atom.

Lattice parameters (Å, degrees): 2.7412 2.7412 26.4520 90.00 90.00 120.00
Space group R-3m (No. 166, hexagonal axes)
One atom of each set of equivalent atoms:
Mg1 0.0000 0.0000 0.0000 (multiplicity 3)
Fe1 0.0000 0.0000 0.2463 (multiplicity 6)
Rh1 0.0000 0.0000 0.5000 (multiplicity 3)

=====

# 3
Density functional theory data (PBE) for a relaxed MgFe2Rh crystal.

Calculated values
For the theoretical density, the calculation gives 7.161 g/cm³. Its energy of formation from the pure elements is 0.03 eV/atom.

Lattice parameters (Å, degrees): 2.6985 4.0659 5.1774 90.00 102.79 90.00
Space group Pm (No. 6)
One atom of each set of equivalent atoms:
Mg1 0.0000 0.0000 0.0000 (multiplicity 1)
Fe1 0.2740 0.5000 0.7332 (multiplicity 1)
Fe2 0.4699 0.0000 0.5080 (multiplicity 1)
Rh1 0.6942 0.5000 0.2589 (multiplicity 1)

=====

# 4
Density functional theory data (PBE) for a relaxed MgFeSiRh crystal.

Calculated values
For the theoretical density, the calculation gives 6.914 g/cm³. The uncorrected formation energy is -0.39 eV/atom.

Lattice parameters (Å, degrees): 5.8755 5.8755 5.8755 90.00 90.00 90.00
Space group F-43m (No. 216)
One atom of each set of equivalent atoms:
Mg1 0.0000 0.0000 0.0000 (multiplicity 4)
Fe1 0.2500 0.2500 0.7500 (multiplicity 4)
Si1 0.0000 0.0000 0.5000 (multiplicity 4)
Rh1 0.2500 0.2500 0.2500 (multiplicity 4)

=====

# 5
Density functional theory data (PBE) for a relaxed MgFe2SiRh crystal.

Calculated values
For the theoretical density, the calculation gives 5.512 g/cm³. The uncorrected formation energy is 0.22 eV/atom.

Lattice parameters (Å, degrees): 4.2564 4.2564 4.4394 90.00 90.00 90.00
Space group P4/mmm (No. 123)
One atom of each set of equivalent atoms:
Mg1 0.0000 0.0000 0.0000 (multiplicity 1)
Fe1 0.0000 0.5000 0.5000 (multiplicity 2)
Si1 0.5000 0.5000 0.5000 (multiplicity 1)
Rh1 0.5000 0.5000 0.0000 (multiplicity 1)

=====

# 6
Density functional theory data (PBE) for a relaxed Mg2FeSi2Rh5 crystal.

Calculated values
For the theoretical density, the calculation gives 7.566 g/cm³. The uncorrected formation energy is -0.59 eV/atom.

Lattice parameters (Å, degrees): 9.5584 9.5584 3.2439 90.00 90.00 90.00
Space group P4/mbm (No. 127)
One atom of each set of equivalent atoms:
Mg1 0.1710 0.3290 0.0000 (multiplicity 4)
Fe1 0.0000 0.0000 0.0000 (multiplicity 2)
Si1 0.1308 0.6308 0.0000 (multiplicity 4)
Rh1 0.0000 0.5000 0.5000 (multiplicity 2)
Rh2 0.0722 0.7978 0.5000 (multiplicity 8)

=====

# 7
Density functional theory data (PBE) for a relaxed MgFeSnRh crystal.

Calculated values
For the theoretical density, the calculation gives 8.238 g/cm³. Its energy of formation from the pure elements is -0.19 eV/atom.

Lattice parameters (Å, degrees): 6.2430 6.2430 6.2430 90.00 90.00 90.00
Space group F-43m (No. 216)
One atom of each set of equivalent atoms:
Mg1 0.0000 0.0000 0.0000 (multiplicity 4)
Fe1 0.2500 0.2500 0.7500 (multiplicity 4)
Sn1 0.0000 0.0000 0.5000 (multiplicity 4)
Rh1 0.2500 0.2500 0.2500 (multiplicity 4)

=====

# 8
Density functional theory data (PBE) for a relaxed MgTaFeRh crystal.

Calculated values
For the theoretical density, the calculation gives 10.361 g/cm³. Its energy of formation from the pure elements is -0.30 eV/atom.

Lattice parameters (Å, degrees): 6.1566 6.1566 6.1566 90.00 90.00 90.00
Space group F-43m (No. 216)
One atom of each set of equivalent atoms:
Mg1 0.0000 0.0000 0.0000 (multiplicity 4)
Ta1 0.0000 0.0000 0.5000 (multiplicity 4)
Fe1 0.2500 0.2500 0.2500 (multiplicity 4)
Rh1 0.2500 0.2500 0.7500 (multiplicity 4)

=====

One value per record, in order, for total moment: 1.34, 1.58, 1.40, 0.01, 0.78, 0.43, 0.09, 0.00 μB per atom.